Below is a relaxed Th2Bi2Ru crystal, with properties calculated at the PBE-GGA level.

Lattice parameters (Å, degrees): 7.6651 7.6651 7.1503 96.04 96.04 48.53
Closest atoms and distances in Å follow each position.
Element x y z (fractional)
Th 0.0306 0.0306 0.2599  2 Ru 2.72-2.96
Th 0.3125 0.3125 0.4251  1 Ru 2.57
Th 0.6875 0.6875 0.5749  1 Ru 2.57
Th 0.9694 0.9694 0.7401  2 Ru 2.72-2.96
Bi 0.2111 0.2111 0.9659  1 Ru 2.77
Bi 0.4918 0.4918 0.7814  1 Bi 3.11, 4 Th 3.18-3.36
Bi 0.5082 0.5082 0.2186  1 Bi 3.11, 4 Th 3.18-3.36
Bi 0.7889 0.7889 0.0341  1 Ru 2.77
Ru 0.1558 0.1558 0.5805  2 Th 2.57-2.72, 1 Bi 2.77
Ru 0.8442 0.8442 0.4195  2 Th 2.57-2.72, 1 Bi 2.77

## Properties
**Calculated total energy**: -66.4 eV for the cell shown
**Mass density**: 10.4 g/cm³
**Size of the total moment**: 0.00 μB/f.u.
**E_form**: -0.269 eV/atom
**V**: 312.7 Å³/cell
**Space-group type**: C2/m


Below is a relaxed MgAlAg2Se4 crystal, with properties calculated at the PBE-GGA level.

Lattice parameters (Å, degrees): 6.0237 6.0248 7.1763 65.19 65.22 89.97
Closest atoms and distances in Å follow each position.
Element x y z (fractional)
Mg 0.0000 0.0000 0.0000  4 Se 2.59-2.60
Al 0.2508 0.7512 0.5000  4 Se 2.41-2.42
Ag 0.5008 0.5008 0.0003  4 Se 2.64
Ag 0.7510 0.2508 0.5003  4 Se 2.66
Se 0.1337 0.0998 0.2618  1 Al 2.41, 1 Mg 2.60, 2 Ag 2.64-2.66
Se 0.3621 0.8683 0.7379  1 Al 2.41, 1 Mg 2.60, 2 Ag 2.64-2.66
Se 0.6057 0.6397 0.2625  1 Al 2.41, 1 Mg 2.59, 2 Ag 2.64-2.66
Se 0.9022 0.3961 0.7380  1 Al 2.42, 1 Mg 2.60, 2 Ag 2.64-2.66

## Properties
**Calculated total energy**: -29.6 eV for the cell shown
**Formation energy (no corrections)**: -580 meV per atom
**Mass density**: 4.6 g/cm³
**Size of the total moment**: 0.00 μB/f.u.
**V**: 209.7 Å³/cell
**Space-group type**: P1


Below is a relaxed Pr3RuI2 crystal, with properties calculated at the PBE-GGA level.

Lattice parameters (Å, degrees): 8.5805 8.5805 8.5805 152.47 137.41 51.47
Closest atoms and distances in Å follow each position.
Element x y z (fractional)
Pr 0.0000 0.0000 0.0000  2 Ru 3.12
Pr 0.3801 0.3801 0.0000  2 Ru 2.76
Pr 0.6199 0.6199 0.0000  2 Ru 2.76
Ru 0.5000 0.0000 0.5000  4 Pr 2.76
I 0.1843 0.6843 0.5000  6 Pr 3.27-3.65
I 0.8157 0.3157 0.5000  6 Pr 3.27-3.65

## Properties
**Calculated total energy**: -31.0 eV for the cell shown
**Formation energy (no corrections)**: -720 meV per atom
**Mass density**: 6.6 g/cm³
**Size of the total moment**: 0.00 μB/f.u.
**V**: 196.7 Å³/cell
**Energy relative to the lowest polymorph listed for this composition**: 0.0000 eV per atom
**Space-group type**: Immm


Below is a relaxed LuI3 crystal, with properties calculated at the PBE-GGA level.

Lattice parameters (Å, degrees): 7.7227 7.7227 7.7227 150.58 69.06 119.10
Closest atoms and distances in Å follow each position.
Element x y z (fractional)
Lu 0.0000 0.0000 0.0000  6 I 3.01
I 0.3010 0.6457 0.6553  2 Lu 3.01
I 0.7086 0.2086 0.5000  2 Lu 3.01
I 0.9904 0.6457 0.3447  2 Lu 3.01

## Properties
**Calculated total energy**: -14.3 eV for the cell shown
**Formation energy (no corrections)**: -1292 meV per atom
**Mass density**: 4.7 g/cm³
**Size of the total moment**: 0.00 μB/f.u.
**V**: 195.3 Å³/cell
**Space-group type**: Imm2


Below is a relaxed YTe3Br crystal, with properties calculated at the PBE-GGA level.

Lattice parameters (Å, degrees): 5.8294 5.8294 5.8294 90.00 90.00 90.00
Closest atoms and distances in Å follow each position.
Element x y z (fractional)
Y 0.0000 0.0000 0.0000  6 Te 2.91
Te 0.0000 0.0000 0.5000  2 Y 2.91
Te 0.0000 0.5000 0.0000  2 Y 2.91
Te 0.5000 0.0000 0.0000  2 Y 2.91
Br 0.5000 0.5000 0.5000  12 Te 4.12

## Properties
**Calculated total energy**: -18.2 eV for the cell shown
**Formation energy (no corrections)**: -127 meV per atom
**Mass density**: 4.6 g/cm³
**Size of the total moment**: 0.00 μB/f.u.
**V**: 198.1 Å³/cell
**Energy relative to the lowest polymorph listed for this composition**: 0.0000 eV per atom
**Space-group type**: Pm-3m


Below is a relaxed RbTl2SeS crystal, with properties calculated at the PBE-GGA level.

Lattice parameters (Å, degrees): 5.3715 5.3715 7.1422 90.00 90.00 90.00
Closest atoms and distances in Å follow each position.
Element x y z (fractional)
Rb 0.0000 0.0000 0.0000  1 S 3.25
Tl 0.0000 0.5000 0.4033  2 S 2.87, 2 Se 3.09
Tl 0.5000 0.0000 0.4033  2 S 2.87, 2 Se 3.09
Se 0.5000 0.5000 0.1888  4 Tl 3.09
S 0.0000 0.0000 0.5446  4 Tl 2.87

## Properties
**Calculated total energy**: -15.7 eV for the cell shown
**Formation energy (no corrections)**: -476 meV per atom
**Mass density**: 4.9 g/cm³
**Size of the total moment**: 0.00 μB/f.u.
**V**: 206.1 Å³/cell
**Space-group type**: P4mm


Below is a relaxed SmEr5Sn4 crystal, with properties calculated at the PBE-GGA level.

Lattice parameters (Å, degrees): 9.1139 9.1139 7.9310 101.82 101.82 28.23
Closest atoms and distances in Å follow each position.
Element x y z (fractional)
Sm 0.0000 0.0000 0.0000  6 Sn 3.12-3.32
Er 0.0000 0.0000 0.5000  4 Sn 2.97
Er 0.2929 0.2929 0.6903  3 Sn 2.97-3.20
Er 0.3606 0.3606 0.2765  4 Sn 3.11-3.30
Er 0.6394 0.6394 0.7235  4 Sn 3.11-3.30
Er 0.7071 0.7071 0.3097  3 Sn 2.97-3.20
Sn 0.1888 0.1888 0.0129  2 Sn 3.14, 6 Er 3.18-3.45, 1 Sm 3.32
Sn 0.4630 0.4630 0.7184  4 Er 2.97-3.11, 2 Sm 3.12
Sn 0.5370 0.5370 0.2816  4 Er 2.97-3.11, 2 Sm 3.12
Sn 0.8112 0.8112 0.9871  2 Sn 3.14, 6 Er 3.18-3.45, 1 Sm 3.32

## Properties
**Calculated total energy**: -47.5 eV for the cell shown
**Mass density**: 8.0 g/cm³
**Size of the total moment**: 0.02 μB/f.u.
**E_form**: -0.393 eV/atom
**V**: 304.6 Å³/cell
**Space-group type**: C2/m


Below is a relaxed TcAg3Sb crystal, with properties calculated at the PBE-GGA level.

Lattice parameters (Å, degrees): 5.1538 5.1538 5.1538 90.00 90.00 90.00
Closest atoms and distances in Å follow each position.
Element x y z (fractional)
Tc 0.0000 0.0000 0.0000  12 Ag 3.64
Ag 0.0000 0.5000 0.5000  2 Sb 2.58
Ag 0.5000 0.0000 0.5000  2 Sb 2.58
Ag 0.5000 0.5000 0.0000  2 Sb 2.58
Sb 0.5000 0.5000 0.5000  6 Ag 2.58

## Properties
**Calculated total energy**: -16.7 eV for the cell shown
**Formation energy (no corrections)**: 1277 meV per atom
**Mass density**: 6.6 g/cm³
**Size of the total moment**: 4.22 μB/f.u.
**V**: 136.9 Å³/cell
**Energy relative to the lowest polymorph listed for this composition**: 0.0000 eV per atom
**Space-group type**: Pm-3m


Below is a relaxed CaUPaO6 crystal, with properties calculated at the PBE-GGA level.

Lattice parameters (Å, degrees): 5.7323 5.7323 9.5345 90.00 90.00 120.00
Closest atoms and distances in Å follow each position.
Element x y z (fractional)
Ca 0.3333 0.6667 0.2500  6 O 2.37
Ca 0.6667 0.3333 0.7500  6 O 2.37
U 0.3333 0.6667 0.7500  6 O 2.17
U 0.6667 0.3333 0.2500  6 O 2.17
Pa 0.0000 0.0000 0.0000  6 O 2.22
Pa 0.0000 0.0000 0.5000  6 O 2.22
O 0.0282 0.3365 0.6274  1 U 2.17, 1 Pa 2.22, 1 Ca 2.37
O 0.0282 0.6917 0.8726  1 U 2.17, 1 Pa 2.22, 1 Ca 2.37
O 0.3083 0.3365 0.8726  1 U 2.17, 1 Pa 2.22, 1 Ca 2.37
O 0.3083 0.9718 0.6274  1 U 2.17, 1 Pa 2.22, 1 Ca 2.37
O 0.3365 0.0282 0.1274  1 U 2.17, 1 Pa 2.22, 1 Ca 2.37
O 0.3365 0.3083 0.3726  1 U 2.17, 1 Pa 2.22, 1 Ca 2.37
O 0.6635 0.6917 0.6274  1 U 2.17, 1 Pa 2.22, 1 Ca 2.37
O 0.6635 0.9718 0.8726  1 U 2.17, 1 Pa 2.22, 1 Ca 2.37
O 0.6917 0.0282 0.3726  1 U 2.17, 1 Pa 2.22, 1 Ca 2.37
O 0.6917 0.6635 0.1274  1 U 2.17, 1 Pa 2.22, 1 Ca 2.37
O 0.9718 0.3083 0.1274  1 U 2.17, 1 Pa 2.22, 1 Ca 2.37
O 0.9718 0.6635 0.3726  1 U 2.17, 1 Pa 2.22, 1 Ca 2.37

## Properties
**Calculated total energy**: -164.8 eV for the cell shown
**Formation energy (no corrections)**: -3321 meV per atom
**Mass density**: 7.4 g/cm³
**Size of the total moment**: 1.00 μB/f.u.
**V**: 271.3 Å³/cell
**Space-group type**: P-31c


Below is a relaxed K2LaTl crystal, with properties calculated at the PBE-GGA level.

Lattice parameters (Å, degrees): 3.7292 3.7292 13.5887 90.00 90.00 115.23
Closest atoms and distances in Å follow each position.
Element x y z (fractional)
K 0.0000 0.0000 0.2295  2 Tl 3.70, 6 K 3.73-3.99
K 0.0000 0.0000 0.7705  2 Tl 3.70, 6 K 3.73-3.99
La 0.5000 0.5000 0.5000  6 La 3.73-3.99
Tl 0.5000 0.5000 0.0000  4 K 3.70, 6 Tl 3.73-3.99

## Properties
**Calculated total energy**: -8.6 eV for the cell shown
**Mass density**: 4.1 g/cm³
**Size of the total moment**: 0.01 μB/f.u.
**E_form**: 0.227 eV/atom
**V**: 170.9 Å³/cell
**Energy relative to the lowest polymorph listed for this composition**: 0.2413 eV per atom
**Space-group type**: Cmmm